# 1
Compound: BeIn2Ru
Source: Alexandria via LeMat-Bulk
Functional: meta-GGA SCAN
Structure: PBEsol geometry

It has space group I4/mmm (No. 139), with a = 3.983 Å, b = 3.983 Å, c = 7.991 Å, α = 90.00°, β = 90.00° and γ = 90.00°. The inequivalent atoms are Be at (0.000, 0.000, 0.000), In at (0.000, 0.500, 0.250) and Ru at (0.000, 0.000, 0.500).

For the formation energy, the calculation gives 0.18 eV/atom. For the density, the calculation gives 8.9 Mg/m³.

***

# 2
Compound: PrFeGe3
Source: Alexandria via LeMat-Bulk
Functional: meta-GGA SCAN
Structure: PBEsol geometry

It has space group I4mm (No. 107), with a = 4.267 Å, b = 4.267 Å, c = 9.855 Å, α = 90.00°, β = 90.00° and γ = 90.00°. The inequivalent atoms are Pr at (0.000, 0.000, 0.000), Fe at (0.000, 0.000, 0.334), Ge at (0.000, 0.000, 0.562) and Ge at (0.000, 0.500, 0.245).

For the formation energy, the calculation gives -0.51 eV/atom. For the density, the calculation gives 7.7 Mg/m³.

***

# 3
Compound: K2Hg
Source: Alexandria via LeMat-Bulk
Functional: meta-GGA SCAN
Structure: PBEsol geometry

It has space group I4/mcm (No. 140), with a = 8.491 Å, b = 8.491 Å, c = 7.064 Å, α = 90.00°, β = 90.00° and γ = 90.00°. The inequivalent atoms are K at (0.175, 0.325, 0.000) and Hg at (0.000, 0.000, 0.250).

For the formation energy, the calculation gives -0.21 eV/atom. For the density, the calculation gives 3.6 Mg/m³.

***

# 4
Compound: CdPCl2
Source: Alexandria via LeMat-Bulk
Functional: meta-GGA SCAN
Structure: PBEsol geometry

It has space group Immm (No. 71), with a = 3.259 Å, b = 5.168 Å, c = 10.894 Å, α = 90.00°, β = 90.00° and γ = 90.00°. The inequivalent atoms are Cd at (0.000, 0.000, 0.000), P at (0.000, 0.000, 0.500) and Cl at (0.000, 0.500, 0.166).

For the density, the calculation gives 3.9 Mg/m³. The calculation puts the energy relative to the elements, uncorrected at -0.22 eV/f.u.

***

# 5
Compound: CaZr3H
Source: Alexandria via LeMat-Bulk
Functional: meta-GGA SCAN
Structure: PBEsol geometry

It has space group Pm-3m (No. 221), with a = 4.586 Å, b = 4.586 Å, c = 4.586 Å, α = 90.00°, β = 90.00° and γ = 90.00°. The inequivalent atoms are Ca at (0.000, 0.000, 0.000), Zr at (0.000, 0.500, 0.500) and H at (0.500, 0.500, 0.500).

For the density, the calculation gives 5.4 Mg/m³. The calculation puts the calculated total energy at -20.92 eV per atom.

***

# 6
Compound: ScTl2Ag2
Source: Alexandria via LeMat-Bulk
Functional: meta-GGA SCAN
Structure: PBEsol geometry

It has space group I4/mmm (No. 139), with a = 3.832 Å, b = 3.832 Å, c = 15.051 Å, α = 90.00°, β = 90.00° and γ = 90.00°. The inequivalent atoms are Sc at (0.000, 0.000, 0.000), Tl at (0.000, 0.000, 0.396) and Ag at (0.000, 0.500, 0.250).

For the formation energy, the calculation gives 0.04 eV/atom. For the density, the calculation gives 10.1 Mg/m³.

***

# 7
Compound: MgCoNi2
Source: Alexandria via LeMat-Bulk
Functional: meta-GGA SCAN
Structure: PBEsol geometry

It has space group Pmm2 (No. 25), with a = 2.564 Å, b = 4.121 Å, c = 4.390 Å, α = 90.00°, β = 90.00° and γ = 90.00°. The inequivalent atoms are Mg at (0.000, 0.000, 0.000), Co at (0.000, 0.500, 0.633), Ni at (0.500, 0.000, 0.501) and Ni at (0.500, 0.500, 0.163).

For the formation energy, the calculation gives 0.06 eV/atom. For the density, the calculation gives 7.2 Mg/m³.

***

# 8
Compound: Hf2ZrCo2
Source: Alexandria via LeMat-Bulk
Functional: meta-GGA SCAN
Structure: PBEsol geometry

It has space group P4/mbm (No. 127), with a = 7.082 Å, b = 7.082 Å, c = 3.281 Å, α = 90.00°, β = 90.00° and γ = 90.00°. The inequivalent atoms are Hf at (0.163, 0.337, 0.000), Zr at (0.000, 0.000, 0.500) and Co at (0.128, 0.628, 0.500).

For the formation energy, the calculation gives -0.19 eV/atom. For the density, the calculation gives 11.4 Mg/m³.

***

# 9
Compound: CsAuS2O8
Source: Alexandria via LeMat-Bulk
Functional: meta-GGA SCAN
Structure: PBEsol geometry

It has space group P2_1/c (No. 14), with a = 10.301 Å, b = 9.088 Å, c = 9.054 Å, α = 90.00°, β = 111.50° and γ = 90.00°. The inequivalent atoms are Cs at (0.245, 0.137, 0.390), Au at (0.288, 0.645, 0.366), S at (0.096, 0.739, 0.541), S at (0.472, 0.527, 0.696), O at (0.046, 0.239, 0.568), O at (0.116, 0.641, 0.170), O at (0.136, 0.595, 0.609), O at (0.200, 0.707, 0.964), O at (0.369, 0.509, 0.250), O at (0.385, 0.099, 0.132), O at (0.456, 0.645, 0.567) and O at (0.460, 0.596, 0.834).

For the density, the calculation gives 4.4 Mg/m³. The calculation puts the energy relative to the elements, uncorrected at -17.13 eV/f.u.

***

# 10
Compound: HgSbAu2
Source: Alexandria via LeMat-Bulk
Functional: meta-GGA SCAN
Structure: PBEsol geometry

It has space group R3m (No. 160, hexagonal axes), with a = 3.8772 Å, b = 3.8772 Å, c = 20.6320 Å, α = 90.00°, β = 90.00° and γ = 120.00°. The inequivalent atoms are Hg at (0.0000, 0.0000, 0.0000), Sb at (0.0000, 0.0000, 0.2329), Au at (0.0000, 0.0000, 0.4902) and Au at (0.0000, 0.0000, 0.7480).

For the density, the calculation gives 13.3 Mg/m³. The calculation puts the energy relative to the elements, uncorrected at 0.04 eV/f.u.

***

# 11
Compound: ScCl2
Source: Alexandria via LeMat-Bulk
Functional: meta-GGA SCAN
Structure: PBEsol geometry

It has space group Pnma (No. 62), with a = 11.660 Å, b = 3.502 Å, c = 6.330 Å, α = 90.00°, β = 90.00° and γ = 90.00°. The inequivalent atoms are Sc at (0.116, 0.250, 0.061), Cl at (0.006, 0.750, 0.264) and Cl at (0.247, 0.750, 0.893).

For the density, the calculation gives 3.0 Mg/m³. The calculation puts the energy relative to the elements, uncorrected at -6.18 eV/f.u.

***

# 12
Compound: Tl2MoRu
Source: Alexandria via LeMat-Bulk
Functional: meta-GGA SCAN
Structure: PBEsol geometry

It has space group P4mm (No. 99), with a = 3.021 Å, b = 3.021 Å, c = 8.594 Å, α = 90.00°, β = 90.00° and γ = 90.00°. The inequivalent atoms are Tl at (0.000, 0.000, 0.000), Tl at (0.500, 0.500, 0.332), Mo at (0.000, 0.000, 0.588) and Ru at (0.500, 0.500, 0.749).

For the formation energy, the calculation gives 0.38 eV/atom. For the density, the calculation gives 12.8 Mg/m³.

***

The following D(E_F) values (in states/eV/cell) correspond, in order, to the records above: 3.67, 4.17, 6.59, 1.43, 5.95, 6.02, 2.23, 11.03, 0.00, 4.95, 9.28, 3.02.